First-principles (PBE with a Hubbard U) data for a relaxed Li2V2TcO6 crystal, as listed in Alexandria.

Cell lengths 5.008, 5.008, 5.299 Å; angles 97.59, 97.59, 122.37 degrees
Element x y z (fractional)
1 Li 0.169 0.831 0.000
2 Li 0.831 0.169 0.000
3 V 0.360 0.640 0.500
4 V 0.640 0.360 0.500
5 Tc 0.000 0.000 0.500
6 O 0.056 0.415 0.714
7 O 0.260 0.260 0.239
8 O 0.415 0.056 0.714
9 O 0.585 0.944 0.286
10 O 0.740 0.740 0.761
11 O 0.944 0.585 0.286

Computed properties:
D(E_F): 0.397 states/eV/f.u.
raw total energy: -78.13 eV for the cell shown